First-principles (PBEsol) data for a geometry-optimized TaCu2TcAg structure, as listed in the Alexandria database.

Formation energy from the elements in eV per atom: 2.1725

a b c (Å): 4.581 4.581 4.930
angles (deg): 90.00 90.00 90.00
Space group P4/mmm (No. 123)
One atom of each set of equivalent atoms:
Ta (0.000, 0.000, 0.000)
Cu (0.000, 0.500, 0.000)
Tc (0.500, 0.500, 0.500)
Ag (0.000, 0.000, 0.500)


First-principles (PBEsol) data for a geometry-optimized Be2FeRh structure, as listed in the Alexandria database.

Formation energy from the elements in eV per atom: -0.2472

a b c (Å): 2.716 3.767 7.819
angles (deg): 90.00 90.00 90.00
Space group Imm2 (No. 44)
One atom of each set of equivalent atoms:
Be (0.000, 0.000, 0.000)
Be (0.000, 0.500, 0.270)
Fe (0.000, 0.500, 0.748)
Rh (0.000, 0.000, 0.518)


First-principles (PBEsol) data for a geometry-optimized Na5LaO4 structure, as listed in the Alexandria database.

Excess energy over the best structure of this formula in the dataset in kJ/mol of atoms: 0.0
Formation energy (no corrections) in meV/atom: -1742.4

a b c (Å): 15.131 15.131 5.526
angles (deg): 90.00 90.00 90.00
Space group P4_2/nmc (No. 137, origin choice 2)
One atom of each set of equivalent atoms:
Na (0.013, 0.513, 0.250)
Na (0.103, 0.145, 0.179)
Na (0.122, 0.622, 0.750)
Na (0.250, 0.250, 0.113)
Na (0.250, 0.750, 0.250)
Na (0.250, 0.750, 0.750)
La (0.019, 0.750, 0.294)
O (0.007, 0.123, 0.487)
O (0.124, 0.250, 0.877)
O (0.124, 0.750, 0.001)


First-principles (PBEsol) data for a geometry-optimized Gd4Ni13C4 structure, as listed in the Alexandria database.

Formation energy from the elements in eV per atom: -0.3576

a b c (Å): 11.617 11.841 3.824
angles (deg): 90.00 90.00 90.00
Space group Cmmm (No. 65)
One atom of each set of equivalent atoms:
Gd (0.000, 0.188, 0.000)
Gd (0.152, 0.500, 0.000)
Ni (0.000, 0.000, 0.500)
Ni (0.108, 0.323, 0.500)
Ni (0.123, 0.000, 0.000)
Ni (0.182, 0.108, 0.500)
Ni (0.250, 0.250, 0.000)
C (0.000, 0.443, 0.500)
C (0.250, 0.250, 0.500)


First-principles (PBEsol) data for a geometry-optimized LiTl2In structure, as listed in the Alexandria database.

Formation energy from the elements in eV per atom: -0.0873

a b c (Å): 3.436 4.377 6.470
angles (deg): 90.00 90.00 90.00
Space group Pmm2 (No. 25)
One atom of each set of equivalent atoms:
Li (0.000, 0.000, 0.000)
Tl (0.000, 0.000, 0.510)
Tl (0.500, 0.500, 0.235)
In (0.500, 0.500, 0.763)


First-principles (PBEsol) data for a geometry-optimized CuPb2O2F2 structure, as listed in the Alexandria database.

Formation energy (no corrections) in meV/atom: -1229.0

a b c (Å): 3.939 3.939 14.694
angles (deg): 90.00 90.00 90.00
Space group I4/mmm (No. 139)
One atom of each set of equivalent atoms:
Cu (0.000, 0.000, 0.000)
Pb (0.000, 0.000, 0.333)
O (0.000, 0.500, 0.250)
F (0.000, 0.500, 0.000)


First-principles (PBEsol) data for a geometry-optimized LiTcSb2 structure, as listed in the Alexandria database.

Excess energy over the best structure of this formula in the dataset in kJ/mol of atoms: 25.4
Formation energy (no corrections) in meV/atom: 70.2

a b c (Å): 3.581 3.581 5.655
angles (deg): 90.00 90.00 90.00
Space group P4mm (No. 99)
One atom of each set of equivalent atoms:
Li (0.000, 0.000, 0.000)
Tc (0.500, 0.500, 0.708)
Sb (0.000, 0.000, 0.532)
Sb (0.500, 0.500, 0.190)


First-principles (PBEsol) data for a geometry-optimized LiCu2Pt structure, as listed in the Alexandria database.

Formation energy from the elements in eV per atom: -0.2017
Excess energy over the best structure of this formula in the dataset in kJ/mol of atoms: 4.0

a b c (Å): 2.880 4.182 8.230
angles (deg): 90.00 90.00 90.00
Space group Imm2 (No. 44)
One atom of each set of equivalent atoms:
Li (0.000, 0.000, 0.000)
Cu (0.000, 0.000, 0.483)
Cu (0.000, 0.500, 0.745)
Pt (0.000, 0.500, 0.241)